Entry 1:
The following is a PBE-GGA calculation of a relaxed structure of ScZn2Cl, from the Alexandria database.

Computed properties:
Calculated total energy: -0.1153 hartree per atom
Formation energy from raw total energies: -0.455 eV/atom
V: 155.2 Å³ per cell

abc: 9.2739 3.3348 5.2698
angles: 90.00 107.82 90.00
Last column: nearest neighbours and their distance in Å.
Space group Cm (No. 8)
One atom of each set of equivalent atoms:
Sc 0.0000 0.0000 0.0000 (multiplicity 2)  3 Cl 2.62, 2 Zn 2.88
Zn 0.0034 0.5000 0.4478 (multiplicity 2)  3 Zn 2.57-2.74
Zn 0.2483 0.0000 0.5441 (multiplicity 2)  3 Zn 2.57-2.74
Cl 0.2173 0.5000 0.0001 (multiplicity 2)  3 Sc 2.62

---

Entry 2:
The following is a PBE-GGA calculation of a relaxed structure of ScZnCl2, from the Alexandria database.

Computed properties:
Calculated total energy: -0.1307 hartree per atom
Formation energy from raw total energies: -0.733 eV/atom
V: 166.5 Å³ per cell

abc: 6.4048 8.6409 3.4461
angles: 90.00 119.18 90.00
Last column: nearest neighbours and their distance in Å.
Space group C2/m (No. 12)
One atom of each set of equivalent atoms:
Sc 0.0000 0.0000 0.0000 (multiplicity 2)  4 Cl 2.69
Zn 0.0000 0.5000 0.0000 (multiplicity 2)  4 Cl 2.69
Cl 0.2500 0.2500 0.0000 (multiplicity 4)  2 Sc 2.69, 2 Zn 2.69

---

Entry 3:
The following is a PBE-GGA calculation of a relaxed structure of ScZnCl2, from the Alexandria database.

Computed properties:
Calculated total energy: -0.1273 hartree per atom
Formation energy from raw total energies: -0.639 eV/atom
V: 160.8 Å³ per cell

abc: 6.2214 7.5913 3.4046
angles: 90.00 90.00 90.00
Last column: nearest neighbours and their distance in Å.
Space group Cmmm (No. 65)
One atom of each set of equivalent atoms:
Sc 0.0000 0.0000 0.0000 (multiplicity 2)  8 Cl 2.99, 2 Zn 3.11
Zn 0.0000 0.5000 0.0000 (multiplicity 2)  8 Cl 2.99, 2 Sc 3.11
Cl 0.2500 0.2500 0.5000 (multiplicity 4)  4 Sc 2.99, 4 Zn 2.99, 2 Cl 3.11

---

Calculated density across the listed records, respectively: 4.52, 3.62, 3.74 g cm⁻³.
DOS(E_F) across the listed records, respectively: 0.463, 0.631, 0.447 states/eV per atom.